Ta2BeW: relaxed, PBE.

Properties
Spin magnetization ... 0.0 μB/f.u.
DFT formation energy ... 276.5 meV/atom

a = 4.4689 Å, b = 4.4689 Å, c = 4.4689 Å
α = 60.00°, β = 60.00°, γ = 60.00°
Closest atoms and distances in Å follow each position.
Fractional positions:
Ta 0.0000 0.0000 0.0000  4 Ta 2.74, 4 W 2.74
Ta 0.2500 0.2500 0.2500  4 Be 2.74, 4 Ta 2.74
Be 0.5000 0.5000 0.5000  4 Ta 2.74, 4 W 2.74
W 0.7500 0.7500 0.7500  4 Ta 2.74, 4 Be 2.74